Density functional theory data (GGA-PBEsol) for crystalline Sr2LiSb2 at its relaxed geometry.

```
Sr2LiSb2
1.0
-1.298 6.127 -0.867
-3.969 -3.477 3.483
4.951 -1.570 3.605
Sb Li Sr
2 1 2
Direct
0.000 0.677 0.677
0.000 0.323 0.323
0.000 0.000 0.000
0.500 0.750 0.250
0.500 0.250 0.750
```

Calculated values
energy relative to the elements, uncorrected	-492	meV/atom
calculated density	3.9	g/cm3
volume	182.2	Å³/cell
space group	No. 139
raw total energy	-3.444	eV/atom

---

Density functional theory data (GGA-PBEsol) for crystalline Sr2LiSb at its relaxed geometry.

```
Sr2LiSb
1.0
-1.158 -1.187 4.309
2.600 -3.919 -0.381
5.465 3.626 -0.007
Sb Li Sr
1 1 2
Direct
0.692 0.500 0.385
0.568 0.000 0.136
0.977 0.500 0.955
0.262 0.000 0.524
```

Calculated values
energy relative to the elements, uncorrected	-651	meV/atom
calculated density	3.8	g/cm3
volume	133.7	Å³/cell
space group	No. 38
raw total energy	-3.202	eV/atom

---

Density functional theory data (GGA-PBEsol) for crystalline Sr2LiSb at its relaxed geometry.

```
Sr2LiSb
1.0
4.614 0.000 0.000
2.307 3.996 0.000
2.307 1.332 7.893
Sb Sr Li
1 2 1
Direct
0.207 0.207 0.379
0.967 0.967 0.099
0.783 0.783 0.650
0.542 0.542 0.373
```

Calculated values
energy relative to the elements, uncorrected	-639	meV/atom
calculated density	3.5	g/cm3
volume	145.5	Å³/cell
space group	No. 160
raw total energy	-3.190	eV/atom

---

Density functional theory data (GGA-PBEsol) for crystalline SrLiSb2Te at its relaxed geometry.

```
SrLiSb2Te
1.0
-2.178 -4.535 -0.250
4.408 -2.044 -1.326
1.165 -0.845 5.177
Sb Te Li Sr
2 1 1 1
Direct
0.000 0.500 0.000
0.500 0.000 0.000
0.000 0.000 0.500
0.000 0.000 0.000
0.500 0.500 0.500
```

Calculated values
energy relative to the elements, uncorrected	-380	meV/atom
calculated density	5.7	g/cm3
volume	136.3	Å³/cell
space group	No. 123
raw total energy	-3.670	eV/atom

---

Density functional theory data (GGA-PBEsol) for crystalline LiTaSb2 at its relaxed geometry.

```
LiTaSb2
1.0
-0.748 2.757 0.831
-1.619 0.308 -2.477
-7.976 -3.601 4.765
Sb Ta Li
2 1 1
Direct
0.000 0.000 0.944
0.500 0.500 0.302
0.000 0.000 0.516
0.500 0.500 0.738
```

Calculated values
energy relative to the elements, uncorrected	177	meV/atom
polymorph energy (0 for the lowest one)	349	meV per atom
calculated density	8.1	g/cm3
volume	88.2	Å³/cell
space group	No. 99
raw total energy	-5.731	eV/atom

---

Density functional theory data (GGA-PBEsol) for crystalline LiTaSb2 at its relaxed geometry.

```
LiTaSb2
1.0
-1.674 1.572 -2.532
1.017 -0.414 -3.237
-5.336 -6.276 -2.678
Sb Ta Li
2 1 1
Direct
0.246 0.246 0.262
0.754 0.754 0.738
0.500 0.500 0.500
0.000 0.000 0.000
```

Calculated values
energy relative to the elements, uncorrected	-172	meV/atom
polymorph energy (0 for the lowest one)	0	meV per atom
calculated density	8.4	g/cm3
volume	85.3	Å³/cell
space group	No. 166
raw total energy	-6.080	eV/atom

---

Density functional theory data (GGA-PBEsol) for crystalline LiTaSb2 at its relaxed geometry.

```
LiTaSb2
1.0
3.806 0.000 0.000
0.000 3.806 0.000
0.000 0.000 5.562
Sb Ta Li
2 1 1
Direct
0.000 0.000 0.949
0.500 0.500 0.298
0.000 0.000 0.474
0.500 0.500 0.779
```

Calculated values
energy relative to the elements, uncorrected	-43	meV/atom
polymorph energy (0 for the lowest one)	129	meV per atom
calculated density	8.9	g/cm3
volume	80.6	Å³/cell
space group	No. 99
raw total energy	-5.951	eV/atom

---

Density functional theory data (GGA-PBEsol) for crystalline LiTaSb2 at its relaxed geometry.

```
LiTaSb2
1.0
-2.735 0.268 2.809
-1.573 -4.604 -1.092
4.687 0.684 1.749
Sb Ta Li
2 1 1
Direct
0.734 0.734 0.467
0.266 0.266 0.533
0.500 0.000 0.000
0.000 0.500 0.000
```

Calculated values
energy relative to the elements, uncorrected	11	meV/atom
polymorph energy (0 for the lowest one)	183	meV per atom
calculated density	9.3	g/cm3
volume	77.0	Å³/cell
space group	No. 71
raw total energy	-5.897	eV/atom

---

Density functional theory data (GGA-PBEsol) for crystalline LiTaSb4 at its relaxed geometry.

```
LiTaSb4
1.0
5.998 0.000 0.000
2.999 5.194 0.000
2.999 1.731 4.897
Li Sb Ta
1 4 1
Direct
0.000 0.000 0.000
0.376 0.376 0.376
0.376 0.376 0.873
0.873 0.376 0.376
0.376 0.873 0.376
0.750 0.750 0.750
```

Calculated values
energy relative to the elements, uncorrected	741	meV/atom
calculated density	7.3	g/cm3
volume	152.6	Å³/cell
space group	No. 216
raw total energy	-4.717	eV/atom

---

Density functional theory data (GGA-PBEsol) for crystalline Li3SbTe at its relaxed geometry.

```
Li3SbTe
1.0
5.086 0.000 0.000
0.000 5.086 0.000
0.000 0.000 5.086
Sb Te Li
1 1 3
Direct
0.500 0.500 0.500
0.000 0.000 0.000
0.000 0.500 0.000
0.000 0.000 0.500
0.500 0.000 0.000
```

Calculated values
energy relative to the elements, uncorrected	-274	meV/atom
polymorph energy (0 for the lowest one)	0	meV per atom
calculated density	3.4	g/cm3
volume	131.6	Å³/cell
space group	No. 221
raw total energy	-3.071	eV/atom

---

Density functional theory data (GGA-PBEsol) for crystalline Li2TiSb2 at its relaxed geometry.

```
Li2TiSb2
1.0
-2.758 1.186 -1.219
-2.314 -7.123 -1.691
-3.298 -0.568 6.910
Sb Li Ti
4 4 2
Direct
0.000 0.325 0.825
0.000 0.825 0.675
0.000 0.675 0.175
0.000 0.175 0.325
0.500 0.125 0.625
0.500 0.625 0.875
0.500 0.875 0.375
0.500 0.375 0.125
0.000 0.000 0.000
0.000 0.500 0.500
```

Calculated values
energy relative to the elements, uncorrected	-294	meV/atom
calculated density	5.3	g/cm3
volume	191.0	Å³/cell
space group	No. 127
raw total energy	-4.568	eV/atom

---

Density functional theory data (GGA-PBEsol) for crystalline LiTlSb2 at its relaxed geometry.

```
LiTlSb2
1.0
3.310 0.000 0.000
1.655 2.866 0.000
1.655 0.955 10.486
Li Sb Tl
1 2 1
Direct
0.000 0.000 0.000
0.261 0.261 0.217
0.739 0.739 0.783
0.500 0.500 0.500
```

Calculated values
energy relative to the elements, uncorrected	-124	meV/atom
polymorph energy (0 for the lowest one)	74	meV per atom
calculated density	7.6	g/cm3
volume	99.5	Å³/cell
space group	No. 166
raw total energy	-3.551	eV/atom